Entry from Alexandria: a geometry-optimized Ba2YAgS4 structure (PBE).

Output
**Formation energy (no corrections)**: -1230 kJ/mol of formula units

```
8
Lattice="7.321 0.000 0.000 0.000 4.250 0.000 -2.623 0.000 6.990" Properties=species:S:1:pos:R:3 pbc="T T T"
Ba 0.000 0.000 0.000
Ba -1.312 2.125 3.495
Y 2.349 0.000 3.495
Ag 3.661 2.125 0.000
S 1.325 2.125 1.934
S 0.158 0.000 5.244
S 4.540 0.000 1.746
S 3.374 2.125 5.056
```